A geometry-optimized Ca3YMn structure. Source: Alexandria, functional PBE-GGA. Values from VASP.

Cell and atoms, written as Quantum ESPRESSO input:
```
&SYSTEM
  ibrav = 0, nat = 5, ntyp = 3
/
ATOMIC_SPECIES
Y 88.91 Y.upf
Ca 40.08 Ca.upf
Mn 54.94 Mn.upf
ATOMIC_POSITIONS angstrom
Y 2.793 2.793 2.793
Ca 0.000 2.793 0.000
Ca 0.000 0.000 2.793
Ca 2.793 0.000 0.000
Mn 0.000 0.000 0.000
CELL_PARAMETERS angstrom
5.585 0.000 0.000
0.000 5.585 0.000
0.000 0.000 5.585
```

Summary:
- ΔE to the lowest computed polymorph: 0.000 eV/atom
- Calculated formation energy: 488 meV per atom
- Crystal system: cubic
- M_tot: 2.39 μB per cell

---

A geometry-optimized Li2HgAu structure. Source: Alexandria, functional PBE-GGA. Values from VASP.

Cell and atoms, written as Quantum ESPRESSO input:
```
&SYSTEM
  ibrav = 0, nat = 4, ntyp = 3
/
ATOMIC_SPECIES
Au 196.97 Au.upf
Hg 200.59 Hg.upf
Li 6.94 Li.upf
ATOMIC_POSITIONS angstrom
Au 0.949 -2.533 1.215
Hg 0.783 0.151 2.739
Li 0.117 -0.067 0.032
Li 3.040 -0.825 1.374
CELL_PARAMETERS angstrom
-1.527 -1.501 2.478
3.106 -3.362 -0.122
2.522 4.022 1.826
```

Summary:
- ΔE to the lowest computed polymorph: 0.058 eV/atom
- Calculated formation energy: -395 meV per atom
- Crystal system: monoclinic
- M_tot: 0.00 μB per cell

---

A geometry-optimized CeTcTe structure. Source: Alexandria, functional PBE-GGA. Values from VASP.

Cell and atoms, written as Quantum ESPRESSO input:
```
&SYSTEM
  ibrav = 0, nat = 6, ntyp = 3
/
ATOMIC_SPECIES
Te 127.60 Te.upf
Ce 140.12 Ce.upf
Tc 98.00 Tc.upf
ATOMIC_POSITIONS angstrom
Te -6.193 -6.256 -6.680
Te -3.521 -4.409 -4.639
Ce -4.896 -2.142 -2.528
Ce -2.239 -0.412 -0.461
Tc -7.179 -2.623 -2.339
Tc -10.057 -5.958 -4.062
CELL_PARAMETERS angstrom
-4.698 0.656 0.046
-0.188 -1.008 -4.842
-5.751 -6.634 -3.455
```

Summary:
- Energy relative to the elements, uncorrected: -9.0 kcal/mol of atoms
- Crystal system: orthorhombic
- M_tot: 0.00 μB per cell

---

A geometry-optimized AlVP3 structure. Source: Alexandria, functional PBE-GGA. Values from VASP.

Cell and atoms, written as Quantum ESPRESSO input:
```
&SYSTEM
  ibrav = 0, nat = 5, ntyp = 3
/
ATOMIC_SPECIES
P 30.97 P.upf
Al 26.98 Al.upf
V 50.94 V.upf
ATOMIC_POSITIONS angstrom
P 0.000 2.271 0.000
P 0.000 0.000 2.271
P 2.271 0.000 0.000
Al 2.271 2.271 2.271
V 0.000 0.000 0.000
CELL_PARAMETERS angstrom
4.542 0.000 0.000
0.000 4.542 0.000
0.000 0.000 4.542
```

Summary:
- ΔE to the lowest computed polymorph: 0.000 eV/atom
- Calculated formation energy: 335 meV per atom
- Crystal system: cubic
- M_tot: 0.00 μB per cell